Density functional theory data (PBE) for an optimized crystal structure of Rb2SiPtI6.

The calculation puts the formation energy (no corrections) at -13.6 kcal/mol of atoms.

The structure belongs to space group Fm-3m (No. 225); the cell edges are 11.419, 11.419 and 11.419 Å and the angles 90.00°, 90.00° and 90.00°. Symmetry generates all atoms from Rb at (0.250, 0.250, 0.250), Si at (0.000, 0.000, 0.000), Pt at (0.000, 0.000, 0.500) and I at (0.000, 0.000, 0.253).


Density functional theory data (PBE) for an optimized crystal structure of MgCo2Ru.

The formation energy is 0.173 eV/atom.

The structure belongs to space group Pm (No. 6); the cell edges are 2.659, 4.080 and 5.004 Å and the angles 90.00°, 104.85° and 90.00°. Symmetry generates all atoms from Mg at (0.000, 0.000, 0.000), Co at (0.270, 0.000, 0.520), Co at (0.385, 0.500, 0.770) and Ru at (0.665, 0.500, 0.315).


Density functional theory data (PBE) for an optimized crystal structure of RbBa2Te2O6.

The calculation puts the formation energy (no corrections) at -39.6 kcal/mol of atoms.

The structure belongs to space group P-1 (No. 2); the cell edges are 5.342, 6.636 and 8.164 Å and the angles 89.07°, 87.06° and 69.08°. Symmetry generates all atoms from Rb at (0.000, 0.000, 0.000), Ba at (0.339, 0.299, 0.377), Te at (0.343, 0.346, 0.832), O at (0.209, 0.568, 0.661), O at (0.317, 0.624, 0.165) and O at (0.409, 0.115, 0.680).


Density functional theory data (PBE) for an optimized crystal structure of CePrTe2.

The energy relative to the lowest polymorph listed for this composition is 0.01 eV per formula unit. The calculation puts the formation energy (no corrections) at -32.5 kcal/mol of atoms.

The structure belongs to space group I4_1/amd (No. 141, origin choice 2); the cell edges are 6.382, 6.382 and 12.767 Å and the angles 90.00°, 90.00° and 90.00°. Symmetry generates all atoms from Ce at (0.000, 0.250, 0.375), Pr at (0.000, 0.250, 0.875) and Te at (0.000, 0.250, 0.127).


Density functional theory data (PBE) for an optimized crystal structure of MgAl2B2Rh5.

The formation energy is -0.585 eV/atom.

The structure belongs to space group P4/mbm (No. 127); the cell edges are 9.331, 9.331 and 2.935 Å and the angles 90.00°, 90.00° and 90.00°. Symmetry generates all atoms from Mg at (0.000, 0.000, 0.000), Al at (0.178, 0.322, 0.000), B at (0.127, 0.627, 0.000), Rh at (0.000, 0.500, 0.500) and Rh at (0.076, 0.784, 0.500).


Density functional theory data (PBE) for an optimized crystal structure of Pr5Nd3Sb8.

The calculation puts the formation energy (no corrections) at -27.5 kcal/mol of atoms.

The structure belongs to space group R-3m (No. 166, hexagonal axes); the cell edges are 9.0920, 9.0920 and 22.2677 Å and the angles 90.00°, 90.00° and 120.00°. Symmetry generates all atoms from Pr at (0.0000, 0.0000, 0.0000), Pr at (0.0000, 0.0000, 0.5000), Pr at (0.0000, 0.5000, 0.0000), Nd at (0.0000, 0.5000, 0.5000), Sb at (0.0000, 0.0000, 0.2494) and Sb at (0.0009, 0.5004, 0.7504).


Density functional theory data (PBE) for an optimized crystal structure of CuIrS2.

The calculation puts the formation energy (no corrections) at -6.4 kcal/mol of atoms.

The structure belongs to space group R-3m (No. 166, hexagonal axes); the cell edges are 3.6230, 3.6230 and 19.8551 Å and the angles 90.00°, 90.00° and 120.00°. Symmetry generates all atoms from Cu at (0.0000, 0.0000, 0.0000), Ir at (0.0000, 0.0000, 0.5000) and S at (0.0000, 0.0000, 0.1087).